(1)
# ErCdSb2 | Alexandria via LeMat-Bulk | PBE | relaxed
# Uncorrected formation energy (eV/f.u.): -1.735
# Total DFT energy (no corrections) (eV/atom): -3.864
data_ErCdSb2
_chemical_formula_sum 'Er1 Cd1 Sb2'
_symmetry_space_group_name_H-M 'P 4/m m m'
_symmetry_Int_Tables_number 123
_symmetry_space_group_name_Hall '-P 4 2'
_cell_length_a 4.979
_cell_length_b 4.979
_cell_length_c 4.104
_cell_angle_alpha 90.00
_cell_angle_beta 90.00
_cell_angle_gamma 90.00
loop_
_atom_site_label
_atom_site_type_symbol
_atom_site_fract_x
_atom_site_fract_y
_atom_site_fract_z
Er1 Er 0.000 0.000 0.000
Cd1 Cd 0.500 0.500 0.000
Sb1 Sb 0.000 0.500 0.500

(2)
# Li2PuRhO8 | Alexandria via LeMat-Bulk | PBE | relaxed
# Uncorrected formation energy (eV/f.u.): -14.326
# Total DFT energy (no corrections) (eV/atom): -6.625
data_Li2PuRhO8
_chemical_formula_sum 'Li4 Pu2 Rh2 O16'
_symmetry_space_group_name_H-M 'I -4 m 2'
_symmetry_Int_Tables_number 119
_symmetry_space_group_name_Hall 'I -4 -2'
_cell_length_a 6.378
_cell_length_b 6.378
_cell_length_c 7.393
_cell_angle_alpha 90.00
_cell_angle_beta 90.00
_cell_angle_gamma 90.00
loop_
_atom_site_label
_atom_site_type_symbol
_atom_site_fract_x
_atom_site_fract_y
_atom_site_fract_z
Li1 Li 0.000 0.000 0.000
Li2 Li 0.000 0.500 0.250
Pu1 Pu 0.000 0.000 0.500
Rh1 Rh 0.000 0.500 0.750
O1 O 0.000 0.211 0.798
O2 O 0.000 0.288 0.447

(3)
# K2NbAlS | Alexandria via LeMat-Bulk | PBE | relaxed
# Uncorrected formation energy (eV/f.u.): 3.675
# Total DFT energy (no corrections) (eV/atom): -3.292
data_K2NbAlS
_chemical_formula_sum 'K2 Nb1 Al1 S1'
_symmetry_space_group_name_H-M 'P 4/m m m'
_symmetry_Int_Tables_number 123
_symmetry_space_group_name_Hall '-P 4 2'
_cell_length_a 6.027
_cell_length_b 6.027
_cell_length_c 4.787
_cell_angle_alpha 90.00
_cell_angle_beta 90.00
_cell_angle_gamma 90.00
loop_
_atom_site_label
_atom_site_type_symbol
_atom_site_fract_x
_atom_site_fract_y
_atom_site_fract_z
K1 K 0.000 0.500 0.000
Nb1 Nb 0.000 0.000 0.500
Al1 Al 0.500 0.500 0.500
S1 S 0.500 0.500 0.000

(4)
# CsNa2As | Alexandria via LeMat-Bulk | PBE | relaxed
# E_form (eV per atom): -0.198
# Total DFT energy (no corrections) (eV/atom): -2.234
data_CsNa2As
_chemical_formula_sum 'Cs4 Na8 As4'
_symmetry_space_group_name_H-M 'I -4 2 d'
_symmetry_Int_Tables_number 122
_symmetry_space_group_name_Hall 'I -4 2bw'
_cell_length_a 6.324
_cell_length_b 6.324
_cell_length_c 18.259
_cell_angle_alpha 90.00
_cell_angle_beta 90.00
_cell_angle_gamma 90.00
loop_
_atom_site_label
_atom_site_type_symbol
_atom_site_fract_x
_atom_site_fract_y
_atom_site_fract_z
Cs1 Cs 0.000 0.000 0.000
Na1 Na 0.005 0.250 0.625
As1 As 0.000 0.000 0.500